No. 1
! AgTeOs2 PBE-GGA optimized geometry; values from VASP
! Space group: Pmmm
! Energy, eV per formula unit: -24.10
! Formation energy (no corrections), meV per atom: 1087.1
&SYSTEM
  ibrav = 0, nat = 4, ntyp = 3
/
ATOMIC_SPECIES
Te 127.60 Te.upf
Os 190.23 Os.upf
Ag 107.87 Ag.upf
ATOMIC_POSITIONS crystal
Te 0.500 0.000 0.500
Os 0.500 0.500 0.000
Ag 0.000 0.500 0.500
Os 0.000 0.000 0.000
CELL_PARAMETERS angstrom
-2.755 1.007 -0.289
-0.664 -0.448 4.768
1.599 4.560 0.651



No. 2
! In5I6 PBE-GGA optimized geometry; values from VASP
! Space group: C2/m
! Energy, eV per formula unit: -27.79
! Formation energy (no corrections), meV per atom: -436.5
&SYSTEM
  ibrav = 0, nat = 11, ntyp = 2
/
ATOMIC_SPECIES
In 114.82 In.upf
I 126.90 I.upf
ATOMIC_POSITIONS crystal
In 0.500 0.000 0.500
I 0.258 0.000 0.235
In 0.841 0.317 0.500
I 0.576 0.339 0.252
I 0.915 0.661 0.252
I 0.742 0.000 0.765
I 0.424 0.661 0.748
In 0.331 0.337 0.000
I 0.085 0.339 0.748
In 0.159 0.683 0.500
In 0.669 0.663 0.000
CELL_PARAMETERS angstrom
8.350 0.000 -0.090
4.175 7.161 -0.045
2.778 0.000 7.839



No. 3
! Y2Tm3ThSe6 PBE-GGA optimized geometry; values from VASP
! Space group: C2/m
! Energy, eV per formula unit: -74.68
! Formation energy (no corrections), meV per atom: -1667.2
&SYSTEM
  ibrav = 0, nat = 12, ntyp = 4
/
ATOMIC_SPECIES
Y 88.91 Y.upf
Th 232.04 Th.upf
Tm 168.93 Tm.upf
Se 78.96 Se.upf
ATOMIC_POSITIONS crystal
Y 0.161 0.324 0.322
Th 0.500 0.000 0.000
Tm 0.500 0.500 0.000
Tm 0.837 0.167 0.675
Se 0.326 0.920 0.653
Se 0.668 0.586 0.336
Se 0.332 0.414 0.664
Se 0.002 0.736 0.004
Y 0.839 0.676 0.678
Se 0.998 0.264 0.996
Tm 0.163 0.833 0.325
Se 0.674 0.080 0.347
CELL_PARAMETERS angstrom
-1.803 -3.612 -0.229
7.341 -3.683 0.291
-1.609 2.517 8.674